# V3P6WO24, relaxed, DFT PBE with a Hubbard U
# Final energy, eV per atom: -7.434
# Size of the total moment, μB per atom: 0.088
data_V3P6WO24
_cell_length_a 8.5913
_cell_length_b 8.5913
_cell_length_c 21.9331
_cell_angle_alpha 90.00
_cell_angle_beta 90.00
_cell_angle_gamma 120.00
_space_group_name_H-M_alt 'R 3'
_space_group_IT_number 146
_space_group_name_Hall 'R 3'
loop_
_atom_site_label
_atom_site_fract_x
_atom_site_fract_y
_atom_site_fract_z
V1 0.0000 0.0000 0.0000
V2 0.0000 0.0000 0.2157
V3 0.0000 0.0000 0.5014
P1 0.0022 0.2888 0.6055
P2 0.0048 0.7234 0.1085
W1 0.0000 0.0000 0.7161
O1 0.0167 0.8256 0.7661
O2 0.0215 0.8240 0.0493
O3 0.0425 0.2042 0.5509
O4 0.0474 0.2044 0.2660
O5 0.1603 0.4753 0.3311
O6 0.1603 0.4776 0.6150
O7 0.1728 0.7080 0.1171
O8 0.1769 0.7145 0.8303